(1)
The following is a DFT calculation (PBE) of a relaxed Fe2IrW crystal.

The structure in POSCAR format:
```
Fe2IrW
1.0
1.3501 0.7795 8.7773
-1.3501 0.7795 8.7773
0.0000 -1.5590 8.7773
Fe Ir W
2 1 1
direct
0.2477 0.2477 0.2477
0.7523 0.7523 0.7523
0.5000 0.5000 0.5000
0.0000 0.0000 0.0000
```

Properties
D(E_F): 5.711 states/eV per cell
Formation energy: 0.768 eV/f.u.
VASP energy: -38.0 eV/cell

***

(2)
The following is a DFT calculation (PBE) of a relaxed Cd2SiF6 crystal.

The structure in POSCAR format:
```
Cd2SiF6
1.0
5.1346 0.0000 0.0000
0.0000 5.1346 0.0000
0.0000 0.0000 10.5707
Cd Si F
4 2 12
direct
0.0000 0.0000 0.1652
0.0000 0.0000 0.8348
0.5000 0.5000 0.3348
0.5000 0.5000 0.6652
0.0000 0.0000 0.5000
0.5000 0.5000 0.0000
0.1873 0.1873 0.3406
0.1873 0.1873 0.6594
0.2065 0.2065 0.0000
0.2935 0.7065 0.5000
0.3127 0.6873 0.1594
0.3127 0.6873 0.8406
0.6873 0.3127 0.1594
0.6873 0.3127 0.8406
0.7065 0.2935 0.5000
0.7935 0.7935 0.0000
0.8127 0.8127 0.3406
0.8127 0.8127 0.6594
```

Properties
D(E_F): 0.000 states/eV per cell
Formation energy without anion corrections: -2.0534 eV per atom
VASP energy: -73.9 eV/cell

***

(3)
The following is a DFT calculation (PBE) of a relaxed BePb crystal.

The structure in POSCAR format:
```
BePb
1.0
-4.9320 4.9320 1.9777
4.9320 -4.9320 1.9777
4.9320 4.9320 -1.9777
Be Pb
4 4
direct
0.2128 0.7147 0.9275
0.2853 0.2128 0.4981
0.7147 0.7872 0.5019
0.7872 0.2853 0.0725
0.2430 0.4625 0.7056
0.4625 0.7570 0.2195
0.5375 0.2430 0.7805
0.7570 0.5375 0.2944
```

Properties
D(E_F): 2.277 states/eV per cell
Formation energy: 1.079 eV/f.u.
VASP energy: -25.4 eV/cell

***

(4)
The following is a DFT calculation (PBE) of a relaxed SrMgSe2 crystal.

The structure in POSCAR format:
```
SrMgSe2
1.0
2.1336 1.2319 8.3784
-2.1336 1.2319 8.3784
0.0000 -2.4637 8.3784
Sr Mg Se
1 1 2
direct
0.0000 0.0000 0.0000
0.5000 0.5000 0.5000
0.1130 0.1130 0.1130
0.8870 0.8870 0.8870
```

Properties
D(E_F): 3.405 states/eV per cell
Formation energy without anion corrections: -0.7865 eV per atom
VASP energy: -13.4 eV/cell

***

(5)
The following is a DFT calculation (PBE) of a relaxed Tb6CePm5 crystal.

The structure in POSCAR format:
```
Tb6CePm5
1.0
-2.5475 5.0651 7.6446
2.5475 -5.0651 7.6446
2.5475 5.0651 -7.6446
Tb Ce Pm
6 1 5
direct
0.0829 0.3346 0.7483
0.2467 0.0000 0.2467
0.4138 0.6654 0.7483
0.5862 0.3346 0.2517
0.7533 0.0000 0.7533
0.9171 0.6654 0.2517
0.0000 0.5000 0.5000
0.1654 0.1654 0.0000
0.3335 0.8335 0.5000
0.5000 0.5000 0.0000
0.6665 0.1665 0.5000
0.8346 0.8346 0.0000
```

Properties
D(E_F): 18.537 states/eV per cell
Formation energy: 0.400 eV/f.u.
VASP energy: -57.1 eV/cell

***

(6)
The following is a DFT calculation (PBE) of a relaxed Sr2Hg2Pd crystal.

The structure in POSCAR format:
```
Sr2Hg2Pd
1.0
7.7001 0.0000 0.0000
0.0000 7.7001 0.0000
0.0000 0.0000 4.9049
Sr Hg Pd
4 4 2
direct
0.1781 0.3219 0.0000
0.3219 0.8219 0.0000
0.6781 0.1781 0.0000
0.8219 0.6781 0.0000
0.1353 0.6353 0.5000
0.3647 0.1353 0.5000
0.6353 0.8647 0.5000
0.8647 0.3647 0.5000
0.0000 0.0000 0.5000
0.5000 0.5000 0.5000
```

Properties
D(E_F): 6.441 states/eV per cell
Formation energy: -2.053 eV/f.u.
VASP energy: -22.4 eV/cell

***

(7)
The following is a DFT calculation (PBE) of a relaxed MnPRu2 crystal.

The structure in POSCAR format:
```
MnPRu2
1.0
2.9360 0.0000 0.0000
0.0000 2.9360 0.0000
0.0000 0.0000 6.1197
Mn P Ru
1 1 2
direct
0.0000 0.0000 0.0000
0.0000 0.0000 0.5000
0.5000 0.5000 0.2741
0.5000 0.5000 0.7259
```

Properties
D(E_F): 2.577 states/eV per cell
Formation energy: -0.786 eV/f.u.
VASP energy: -33.9 eV/cell

***

(8)
The following is a DFT calculation (PBE) of a relaxed CdBiIr2O crystal.

The structure in POSCAR format:
```
CdBiIr2O
1.0
4.2480 0.0000 0.0000
0.0000 4.2480 0.0000
0.0000 0.0000 4.8604
Cd Bi Ir O
1 1 2 1
direct
0.0000 0.0000 0.0000
0.5000 0.5000 0.0000
0.0000 0.5000 0.5000
0.5000 0.0000 0.5000
0.5000 0.5000 0.5000
```

Properties
D(E_F): 3.898 states/eV per cell
Formation energy without anion corrections: 0.5690 eV per atom
VASP energy: -24.6 eV/cell

***

(9)
The following is a DFT calculation (PBE) of a relaxed Y2TcW crystal.

The structure in POSCAR format:
```
Y2TcW
1.0
-2.0729 2.0729 4.8270
2.0729 -2.0729 4.8270
2.0729 2.0729 -4.8270
Y Tc W
2 1 1
direct
0.2500 0.7500 0.5000
0.7500 0.2500 0.5000
0.0000 0.0000 0.0000
0.5000 0.5000 0.0000
```

Properties
D(E_F): 4.810 states/eV per cell
Formation energy: 2.582 eV/f.u.
VASP energy: -33.7 eV/cell

***

(10)
The following is a DFT calculation (PBE) of a relaxed Sr3Dy2YTe6 crystal.

The structure in POSCAR format:
```
Sr3Dy2YTe6
1.0
3.8884 -6.7260 0.0000
3.8884 6.7260 0.0000
-2.5928 0.0000 7.5379
Sr Dy Y Te
3 2 1 6
direct
0.0000 0.0000 0.0000
0.3336 0.6664 0.0000
0.6664 0.3336 0.0000
0.1667 0.8333 0.5000
0.8333 0.1667 0.5000
0.5000 0.5000 0.5000
0.0891 0.4230 0.2689
0.2430 0.2430 0.7309
0.4230 0.0891 0.2689
0.5770 0.9109 0.7311
0.7570 0.7570 0.2691
0.9109 0.5770 0.7311
```

Properties
D(E_F): 5.207 states/eV per cell
Formation energy without anion corrections: -1.4956 eV per atom
VASP energy: -57.5 eV/cell

***

(11)
The following is a DFT calculation (PBE) of a relaxed Mg5In crystal.

The structure in POSCAR format:
```
Mg5In
1.0
2.2574 -6.7886 0.0000
2.2574 6.7886 0.0000
0.0000 0.0000 4.4847
Mg In
5 1
direct
0.0000 0.0000 0.0000
0.1654 0.8346 0.5000
0.3326 0.6674 0.0000
0.6674 0.3326 0.0000
0.8346 0.1654 0.5000
0.5000 0.5000 0.5000
```

Properties
D(E_F): 2.427 states/eV per cell
Formation energy: -0.278 eV/f.u.
VASP energy: -11.0 eV/cell

***

(12)
The following is a DFT calculation (PBE) of a relaxed MgTaBe2Cu crystal.

The structure in POSCAR format:
```
MgTaBe2Cu
1.0
4.1581 0.0000 0.0000
0.0000 4.1581 0.0000
0.0000 0.0000 4.1892
Mg Ta Be Cu
1 1 2 1
direct
0.0000 0.0000 0.0000
0.5000 0.5000 0.5000
0.0000 0.5000 0.0000
0.5000 0.0000 0.0000
0.0000 0.0000 0.5000
```

Properties
D(E_F): 1.432 states/eV per cell
Formation energy: 6.165 eV/f.u.
VASP energy: -18.8 eV/cell

***

> Which value of VASP energy does entry 1 give?

-38.0 eV/cell